[1]
Below is NiOsAu2 after structural relaxation, with properties calculated at the PBE level.

Properties
Uncorrected energy   -5.39 eV/atom
Magnetic moment   1.00 μB per formula unit
Energy relative to the lowest polymorph listed for this composition   0.2347 eV per atom
Energy relative to the elements   0.506 eV/atom

a b c (Å): 2.779 2.779 7.911
angles (deg): 90.00 90.00 90.00
Element x y z (fractional)
Au (0.000, 0.000, 0.487)
Au (0.000, 0.000, 0.013)
Os (0.500, 0.500, 0.750)
Ni (0.500, 0.500, 0.250)

[2]
Below is NiOs2Au after structural relaxation, with properties calculated at the PBE level.

Properties
Uncorrected energy   -7.07 eV/atom
Magnetic moment   0.00 μB per formula unit
Energy relative to the lowest polymorph listed for this composition   0.5708 eV per atom
Energy relative to the elements   0.814 eV/atom

a b c (Å): 3.707 3.707 9.583
angles (deg): 78.85 78.85 90.00
Element x y z (fractional)
Ni (0.500, 0.500, 0.000)
Ni (0.250, 0.750, 0.500)
Os (0.375, 0.415, 0.750)
Os (0.875, 0.835, 0.750)
Os (0.165, 0.625, 0.250)
Os (0.585, 0.125, 0.250)
Au (0.000, 0.000, 0.000)
Au (0.750, 0.250, 0.500)

[3]
Below is NiOsAu2 after structural relaxation, with properties calculated at the PBE level.

Properties
Uncorrected energy   -5.47 eV/atom
Magnetic moment   0.28 μB per formula unit
Energy relative to the lowest polymorph listed for this composition   0.1500 eV per atom
Energy relative to the elements   0.421 eV/atom

a b c (Å): 9.133 9.133 9.133
angles (deg): 17.68 17.68 17.68
Element x y z (fractional)
Ni (0.250, 0.250, 0.250)
Au (0.996, 0.996, 0.996)
Au (0.504, 0.504, 0.504)
Os (0.750, 0.750, 0.750)

[4]
Below is NiOs2Au after structural relaxation, with properties calculated at the PBE level.

Properties
Uncorrected energy   -7.31 eV/atom
Magnetic moment   0.00 μB per formula unit
Energy relative to the lowest polymorph listed for this composition   0.3230 eV per atom
Energy relative to the elements   0.566 eV/atom

a b c (Å): 4.832 4.832 4.832
angles (deg): 133.92 133.92 67.21
Element x y z (fractional)
Os (0.000, 0.000, 0.000)
Os (0.500, 0.500, 0.000)
Au (0.250, 0.750, 0.500)
Ni (0.750, 0.250, 0.500)